Record 1
Density functional theory data (meta-GGA SCAN) for a PBEsol-optimized structure of CrTe2Br.

Summary:
formation energy from raw total energies = 0.0223 eV/atom
space-group type = C2/m (12)

a = 5.184 Å, b = 5.168 Å, c = 5.168 Å
α = 106.48°, β = 111.12°, γ = 111.12°
Last column: magnetic moment on the atom in μB.
Atoms (fractional coordinates):
Br (0.500, 0.500, 0.500)  0.01
Te (0.000, 0.500, 0.000)  -0.09
Cr (0.500, 0.000, 0.000)  4.11
Te (0.000, 0.000, 0.500)  -0.09



Record 2
Density functional theory data (meta-GGA SCAN) for a PBEsol-optimized structure of Tl2CrBr.

Summary:
formation energy from raw total energies = -0.0240 eV/atom
space-group type = Immm (71)

a = 3.255 Å, b = 4.321 Å, c = 7.704 Å
α = 106.29°, β = 102.20°, γ = 90.00°
Last column: magnetic moment on the atom in μB.
Atoms (fractional coordinates):
Tl (0.318, 0.318, 0.636)  -0.04
Br (0.500, 0.000, 0.000)  -0.02
Cr (0.000, 0.500, 0.000)  4.00
Tl (0.682, 0.682, 0.364)  -0.04



Record 3
Density functional theory data (meta-GGA SCAN) for a PBEsol-optimized structure of TlZnCrBr2.

Summary:
formation energy from raw total energies = -0.1683 eV/atom
space-group type = P4/mmm (123)

a = 4.988 Å, b = 4.988 Å, c = 5.599 Å
α = 90.00°, β = 90.00°, γ = 90.00°
Last column: magnetic moment on the atom in μB.
Atoms (fractional coordinates):
Br (0.500, 0.000, 0.000)  0.01
Tl (0.000, 0.000, 0.500)  0.03
Br (0.000, 0.500, 0.000)  0.01
Zn (0.500, 0.500, 0.500)  0.00
Cr (0.000, 0.000, 0.000)  3.59



Record 4
Density functional theory data (meta-GGA SCAN) for a PBEsol-optimized structure of CrW2Br.

Summary:
formation energy from raw total energies = 0.7626 eV/atom
space-group type = R3m (160)

a = 2.968 Å, b = 2.968 Å, c = 8.406 Å
α = 79.83°, β = 79.83°, γ = 60.00°
Last column: magnetic moment on the atom in μB.
Atoms (fractional coordinates):
Br (0.504, 0.504, 0.489)  0.00
Cr (0.255, 0.255, 0.235)  1.97
W (0.749, 0.749, 0.754)  -0.04
W (0.993, 0.993, 0.022)  -0.40



Record 5
Density functional theory data (meta-GGA SCAN) for a PBEsol-optimized structure of CrWBr.

Summary:
formation energy from raw total energies = 1.4775 eV/atom
space-group type = F-43m (216)

a = 4.192 Å, b = 4.192 Å, c = 4.192 Å
α = 60.00°, β = 60.00°, γ = 60.00°
Last column: magnetic moment on the atom in μB.
Atoms (fractional coordinates):
W (0.750, 0.750, 0.750)  -1.15
Br (0.000, 0.000, 0.000)  0.03
Cr (0.500, 0.500, 0.500)  2.38



Record 6
Density functional theory data (meta-GGA SCAN) for a PBEsol-optimized structure of CrW2Br.

Summary:
formation energy from raw total energies = 1.2242 eV/atom
space-group type = P4/mmm (123)

a = 3.702 Å, b = 3.702 Å, c = 4.662 Å
α = 90.00°, β = 90.00°, γ = 90.00°
Last column: magnetic moment on the atom in μB.
Atoms (fractional coordinates):
Cr (0.000, 0.000, 0.500)  3.26
W (0.000, 0.500, 0.000)  -0.29
W (0.500, 0.000, 0.000)  -0.29
Br (0.500, 0.500, 0.500)  -0.02